# OsPbCl

OsPbCl after structural relaxation (PBE, Alexandria).

Lattice parameters (Å, degrees): 8.5092 8.1609 3.2195 85.02 72.83 22.14
Fractional coordinates of all 3 atoms:
Cl1 0.0399 0.0399 0.9601
Os1 0.6523 0.6523 0.3477
Pb1 0.3078 0.3078 0.6922

Computed properties:
- Theoretical density: 10.4 Mg/m³
- Total energy: -4.903 eV per atom



# TeMo3

TeMo3 after structural relaxation (PBE, Alexandria).

Lattice parameters (Å, degrees): 3.2154 3.2154 8.0327 90.00 90.00 120.00
Fractional coordinates of all 4 atoms:
Mo1 0.0000 0.0000 0.0072
Mo2 0.0000 0.0000 0.4928
Mo3 0.6667 0.3333 0.2500
Te1 0.6667 0.3333 0.7500

Computed properties:
- Theoretical density: 9.6 Mg/m³
- Total energy: -8.401 eV per atom



# MgTiNi4

MgTiNi4 after structural relaxation (PBE, Alexandria).

Lattice parameters (Å, degrees): 3.7648 5.1115 8.3740 90.00 102.99 90.00
Fractional coordinates of all 12 atoms:
Mg1 0.0862 0.2500 0.1725
Mg2 0.9138 0.7500 0.8275
Ti1 0.2272 0.7500 0.4545
Ti2 0.7728 0.2500 0.5455
Ni1 0.5000 0.5000 0.0000
Ni2 0.5000 0.0000 0.0000
Ni3 0.6510 0.9810 0.3021
Ni4 0.3490 0.0190 0.6979
Ni5 0.3490 0.4810 0.6979
Ni6 0.6510 0.5190 0.3021
Ni7 0.0750 0.7500 0.1501
Ni8 0.9250 0.2500 0.8499

Computed properties:
- Energy of formation: -0.199 eV/atom
- Theoretical density: 6.5 Mg/m³



# LiNbCd2Cu

LiNbCd2Cu after structural relaxation (PBE, Alexandria).

Lattice parameters (Å, degrees): 4.5145 4.2188 4.5145 90.00 90.00 90.00
Fractional coordinates of all 5 atoms:
Nb1 0.5000 0.5000 0.5000
Li1 0.0000 0.0000 0.0000
Cu1 0.0000 0.5000 0.0000
Cd1 0.0000 0.0000 0.5000
Cd2 0.5000 0.0000 0.0000

Computed properties:
- Energy of formation: 0.555 eV/atom
- Theoretical density: 7.5 Mg/m³



# AgP4

AgP4 after structural relaxation (PBE, Alexandria).

Lattice parameters (Å, degrees): 4.7577 4.7577 4.7577 90.00 90.00 90.00
Fractional coordinates of all 5 atoms:
P1 0.0000 0.0000 0.0000
P2 0.5000 0.0000 0.5000
P3 0.0000 0.5000 0.5000
P4 0.5000 0.5000 0.0000
Ag1 0.5000 0.5000 0.5000

Computed properties:
- Energy of formation: 1.553 eV/atom
- Theoretical density: 3.6 Mg/m³



# Na2SnGe2Pd5

Na2SnGe2Pd5 after structural relaxation (PBE, Alexandria).

Lattice parameters (Å, degrees): 3.4104 10.3034 10.3034 90.00 90.00 90.00
Fractional coordinates of all 20 atoms:
Na1 0.0000 0.6745 0.1745
Na2 0.0000 0.3255 0.8255
Na3 0.0000 0.1745 0.3255
Na4 0.0000 0.8255 0.6745
Sn1 0.0000 0.0000 0.0000
Sn2 0.0000 0.5000 0.5000
Ge1 0.0000 0.1270 0.6270
Ge2 0.0000 0.8730 0.3730
Ge3 0.0000 0.6270 0.8730
Ge4 0.0000 0.3730 0.1270
Pd1 0.5000 0.2065 0.0598
Pd2 0.5000 0.7935 0.9402
Pd3 0.5000 0.0598 0.7935
Pd4 0.5000 0.7065 0.4402
Pd5 0.5000 0.9402 0.2065
Pd6 0.5000 0.2935 0.5598
Pd7 0.5000 0.5598 0.7065
Pd8 0.5000 0.4402 0.2935
Pd9 0.5000 0.5000 0.0000
Pd10 0.5000 0.0000 0.5000

Computed properties:
- Energy of formation: -0.437 eV/atom
- Theoretical density: 7.7 Mg/m³